Here is crystalline BaNiPO4 at its relaxed geometry from the Alexandria database. Energies are from PBE+U.

Calculated values
SG: P2_1/m, No. 11
Energy (eV/atom): -6.32
D(E_F) (states/eV/cell): 0.00

Cell: 5.8597 6.1019 6.3388 Å, 90.00 106.73 90.00°
With the nearest neighbours (Å) after each atom.
Element x y z (fractional)
Ba: 0.7336 0.7500 0.9671  6 O 2.63-2.88
Ba: 0.2664 0.2500 0.0329  6 O 2.63-2.88
Ni: 0.8299 0.7500 0.5252  3 O 2.08-2.10
Ni: 0.1701 0.2500 0.4748  3 O 2.08-2.10
P: 0.2688 0.7500 0.3255  4 O 1.53-1.57
P: 0.7312 0.2500 0.6745  4 O 1.53-1.57
O: 0.9022 0.4525 0.6928  1 P 1.57
O: 0.0978 0.9525 0.3072  1 P 1.57
O: 0.0978 0.5475 0.3072  1 P 1.57
O: 0.9022 0.0475 0.6928  1 P 1.57
O: 0.3574 0.7500 0.1148  1 P 1.57
O: 0.6426 0.2500 0.8852  1 P 1.57
O: 0.4757 0.7500 0.5386  1 P 1.53
O: 0.5243 0.2500 0.4614  1 P 1.53